The following is a DFT calculation (PBE) of an optimized crystal structure of CsScBiSb2. Values from VASP.

Structure (Quantum ESPRESSO input):
```
&SYSTEM
  ibrav = 0, nat = 5, ntyp = 4
/
ATOMIC_SPECIES
Sb 121.76 Sb.upf
Bi 208.98 Bi.upf
Cs 132.91 Cs.upf
Sc 44.96 Sc.upf
CELL_PARAMETERS angstrom
5.957 0.000 0.000
0.000 6.061 0.000
0.000 0.000 5.957
ATOMIC_POSITIONS crystal
Sb 0.000 0.000 0.500
Sb 0.500 0.000 0.000
Bi 0.000 0.500 0.000
Cs 0.000 0.000 0.000
Sc 0.500 0.500 0.500
```

Results
Crystal system ... tetragonal
ΔE_f (raw) ... 1.40 eV per atom
Total energy ... -2.46 eV per atom
Spin magnetization ... 0.01 μB per cell
N(E_F) ... 5.0 states/eV/f.u.